(i)
VASP calculation (PBE) on crystalline VSi2Br at its relaxed geometry.

Computed properties:
Magnetic moment: 2.281 Bohr magnetons per cell
Theoretical density: 4.68 g/cm³

a b c (Å): 6.426 6.426 6.426
angles (deg): 90.00 90.00 90.00
Space group Fm-3m (No. 225)
Asymmetric unit:
V 0.000 0.000 0.000 x4
Si 0.250 0.250 0.250 x8
Br 0.000 0.000 0.500 x4


(ii)
VASP calculation (PBE) on crystalline VSi2Br at its relaxed geometry.

Computed properties:
Magnetic moment: 2.182 Bohr magnetons per cell
Theoretical density: 2.99 g/cm³

a b c (Å): 5.933 5.933 11.791
angles (deg): 90.00 90.00 90.00
Space group I-42d (No. 122)
Asymmetric unit:
V 0.000 0.000 0.000 x4
Si 0.190 0.250 0.125 x8
Br 0.000 0.000 0.500 x4


What should be chosen as the least stable of them? Choose (i).


(i)
VASP calculation (PBE) on crystalline SiW2Br at its relaxed geometry.

Computed properties:
Magnetic moment: 0.000 Bohr magnetons per cell
Theoretical density: 9.16 g/cm³

a b c (Å): 3.413 4.143 6.138
angles (deg): 90.00 96.19 90.00
Space group P2/m (No. 10)
Asymmetric unit:
Si 0.000 0.000 0.000 x1
W 0.298 0.500 0.149 x2
Br 0.500 0.000 0.500 x1


(ii)
VASP calculation (PBE) on crystalline SiW2Br at its relaxed geometry.

Computed properties:
Magnetic moment: 0.000 Bohr magnetons per cell
Theoretical density: 12.11 g/cm³

a b c (Å): 2.991 4.444 9.815
angles (deg): 90.00 90.00 90.00
Space group Imm2 (No. 44)
Asymmetric unit:
Si 0.000 0.000 0.000 x2
W 0.000 0.000 0.474 x2
W 0.000 0.500 0.714 x2
Br 0.000 0.500 0.216 x2


What should be chosen as the least stable of them? Choose (ii).


(i)
VASP calculation (PBE) on crystalline SiW2Br at its relaxed geometry.

Computed properties:
Magnetic moment: 0.000 Bohr magnetons per cell
Theoretical density: 9.97 g/cm³

a b c (Å): 3.169 3.169 7.883
angles (deg): 90.00 90.00 90.00
Space group P4mm (No. 99)
Asymmetric unit:
Si 0.000 0.000 0.000 x1
W 0.000 0.000 0.349 x1
W 0.500 0.500 0.142 x1
Br 0.500 0.500 0.586 x1


(ii)
VASP calculation (PBE) on crystalline SiW2Br at its relaxed geometry.

Computed properties:
Magnetic moment: 0.000 Bohr magnetons per cell
Theoretical density: 11.62 g/cm³

a b c (Å): 2.813 4.519 5.346
angles (deg): 90.00 90.00 90.00
Space group Pmmm (No. 47)
Asymmetric unit:
Si 0.000 0.000 0.000 x1
W 0.000 0.500 0.500 x1
W 0.500 0.500 0.000 x1
Br 0.500 0.000 0.500 x1


(iii)
VASP calculation (PBE) on crystalline SiW2Br at its relaxed geometry.

Computed properties:
Magnetic moment: 0.000 Bohr magnetons per cell
Theoretical density: 9.18 g/cm³

a b c (Å): 6.010 6.010 9.532
angles (deg): 90.00 90.00 90.00
Space group I-42d (No. 122)
Asymmetric unit:
Si 0.000 0.000 0.000 x4
W 0.242 0.250 0.125 x8
Br 0.000 0.000 0.500 x4


What should be chosen as the least stable of them? Choose (iii).


(i)
VASP calculation (PBE) on crystalline SiW2Br at its relaxed geometry.

Computed properties:
Magnetic moment: 0.000 Bohr magnetons per cell
Theoretical density: 8.92 g/cm³

a b c (Å): 8.399 3.236 7.480
angles (deg): 90.00 119.40 90.00
Space group C2/m (No. 12)
Asymmetric unit:
Si 0.000 0.000 0.000 x2
W 0.218 0.000 0.860 x4
Br 0.000 0.500 0.500 x2


(ii)
VASP calculation (PBE) on crystalline SiW2Br at its relaxed geometry.

Computed properties:
Magnetic moment: 0.000 Bohr magnetons per cell
Theoretical density: 11.11 g/cm³

a b c (Å): 3.214 3.214 6.883
angles (deg): 90.00 90.00 90.00
Space group P4/mmm (No. 123)
Asymmetric unit:
Si 0.000 0.000 0.000 x1
W 0.500 0.500 0.178 x2
Br 0.000 0.000 0.500 x1


What should be chosen as the least stable of them? Choose (i).


(i)
VASP calculation (PBE) on crystalline SiW2Br at its relaxed geometry.

Computed properties:
Magnetic moment: 0.000 Bohr magnetons per cell
Theoretical density: 9.54 g/cm³

a b c (Å): 3.269 3.159 8.094
angles (deg): 90.00 98.03 90.00
Space group Pm (No. 6)
Asymmetric unit:
Si 0.000 0.000 0.000 x1
W 0.448 0.500 0.850 x1
W 0.883 0.000 0.661 x1
Br 0.792 0.500 0.404 x1


(ii)
VASP calculation (PBE) on crystalline SiW2Br at its relaxed geometry.

Computed properties:
Magnetic moment: 0.000 Bohr magnetons per cell
Theoretical density: 11.78 g/cm³

a b c (Å): 3.308 4.814 8.421
angles (deg): 90.00 90.00 90.00
Space group Cmmm (No. 65)
Asymmetric unit:
Si 0.000 0.000 0.000 x2
W 0.000 0.500 0.220 x4
Br 0.000 0.000 0.500 x2


What should be chosen as the least stable of them? Choose (ii).


(i)
VASP calculation (PBE) on crystalline SiW2Br at its relaxed geometry.

Computed properties:
Magnetic moment: 0.000 Bohr magnetons per cell
Theoretical density: 11.76 g/cm³

a b c (Å): 6.452 6.452 6.452
angles (deg): 90.00 90.00 90.00
Space group F-43m (No. 216)
Asymmetric unit:
Si 0.000 0.000 0.000 x4
W 0.000 0.000 0.500 x4
W 0.250 0.250 0.750 x4
Br 0.250 0.250 0.250 x4


(ii)
VASP calculation (PBE) on crystalline SiW2Br at its relaxed geometry.

Computed properties:
Magnetic moment: 0.000 Bohr magnetons per cell
Theoretical density: 11.70 g/cm³

a b c (Å): 5.493 8.810 3.263
angles (deg): 90.00 121.23 90.00
Space group C2/m (No. 12)
Asymmetric unit:
Si 0.000 0.000 0.000 x2
W 0.250 0.250 0.500 x4
Br 0.000 0.500 0.000 x2


What should be chosen as the least stable of them? Choose (i).